# YbBiPt

YbBiPt after structural relaxation (PBE, the Alexandria database).

Summary:
E_form = -837 meV/atom
Calculated volume = 78.12 Å³ per cell
Space-group type = F-43m, No. 216
Crystal system = cubic

The structure in CIF format:
```
data_YbBiPt
_chemical_formula_sum 'Yb1 Bi1 Pt1'
_space_group_name_H-M_alt 'P 1'
_space_group_IT_number 1
_cell_length_a 4.7984
_cell_length_b 4.7984
_cell_length_c 4.7984
_cell_angle_alpha 60.00
_cell_angle_beta 60.00
_cell_angle_gamma 60.00
loop_
_space_group_symop_operation_xyz
'x,y,z'
loop_
_atom_site_label
_atom_site_fract_x
_atom_site_fract_y
_atom_site_fract_z
Yb1 0.0000 0.0000 0.0000
Bi1 0.5000 0.5000 0.5000
Pt1 0.7500 0.7500 0.7500
```


# ZnBiPt3

ZnBiPt3 after structural relaxation (PBE, the Alexandria database).

Summary:
E_form = 377 meV/atom
Distance to the lowest polymorph of the same formula = 0.000 eV/atom
Calculated volume = 103.06 Å³ per cell
Space-group type = Pm-3m, No. 221
Crystal system = cubic

The structure in CIF format:
```
data_ZnBiPt3
_chemical_formula_sum 'Zn1 Bi1 Pt3'
_space_group_name_H-M_alt 'P 1'
_space_group_IT_number 1
_cell_length_a 4.6885
_cell_length_b 4.6885
_cell_length_c 4.6885
_cell_angle_alpha 90.00
_cell_angle_beta 90.00
_cell_angle_gamma 90.00
loop_
_space_group_symop_operation_xyz
'x,y,z'
loop_
_atom_site_label
_atom_site_fract_x
_atom_site_fract_y
_atom_site_fract_z
Zn1 0.0000 0.0000 0.0000
Bi1 0.5000 0.5000 0.5000
Pt1 0.0000 0.0000 0.5000
Pt2 0.0000 0.5000 0.0000
Pt3 0.5000 0.0000 0.0000
```


# ZnBi2Pt

ZnBi2Pt after structural relaxation (PBE, the Alexandria database).

Summary:
E_form = 45 meV/atom
Calculated volume = 127.78 Å³ per cell
Space-group type = R-3m, No. 166
Crystal system = trigonal

The structure in CIF format:
```
data_ZnBi2Pt
_chemical_formula_sum 'Zn1 Bi2 Pt1'
_space_group_name_H-M_alt 'P 1'
_space_group_IT_number 1
_cell_length_a 8.8524
_cell_length_b 8.8524
_cell_length_c 8.8524
_cell_angle_alpha 27.19
_cell_angle_beta 27.19
_cell_angle_gamma 27.19
loop_
_space_group_symop_operation_xyz
'x,y,z'
loop_
_atom_site_label
_atom_site_fract_x
_atom_site_fract_y
_atom_site_fract_z
Zn1 0.0000 0.0000 0.0000
Bi1 0.1109 0.1109 0.1109
Bi2 0.8891 0.8891 0.8891
Pt1 0.5000 0.5000 0.5000
```


# Zn2Bi2Pt

Zn2Bi2Pt after structural relaxation (PBE, the Alexandria database).

Summary:
E_form = 29 meV/atom
Calculated volume = 216.61 Å³ per cell
Space-group type = P4/mbm, No. 127
Crystal system = tetragonal

The structure in CIF format:
```
data_Zn2Bi2Pt
_chemical_formula_sum 'Zn4 Bi4 Pt2'
_space_group_name_H-M_alt 'P 1'
_space_group_IT_number 1
_cell_length_a 6.7952
_cell_length_b 6.7952
_cell_length_c 4.6912
_cell_angle_alpha 90.00
_cell_angle_beta 90.00
_cell_angle_gamma 90.00
loop_
_space_group_symop_operation_xyz
'x,y,z'
loop_
_atom_site_label
_atom_site_fract_x
_atom_site_fract_y
_atom_site_fract_z
Zn1 0.1391 0.3609 0.0000
Zn2 0.3609 0.8609 0.0000
Zn3 0.6391 0.1391 0.0000
Zn4 0.8609 0.6391 0.0000
Bi1 0.1746 0.6746 0.5000
Bi2 0.3254 0.1746 0.5000
Bi3 0.6746 0.8254 0.5000
Bi4 0.8254 0.3254 0.5000
Pt1 0.0000 0.0000 0.0000
Pt2 0.5000 0.5000 0.0000
```


# ZnBiPt3

ZnBiPt3 after structural relaxation (PBE, the Alexandria database).

Summary:
E_form = 1119 meV/atom
Distance to the lowest polymorph of the same formula = 0.742 eV/atom
Calculated volume = 131.47 Å³ per cell
Space-group type = Pm-3m, No. 221
Crystal system = cubic

The structure in CIF format:
```
data_ZnBiPt3
_chemical_formula_sum 'Zn1 Bi1 Pt3'
_space_group_name_H-M_alt 'P 1'
_space_group_IT_number 1
_cell_length_a 5.0848
_cell_length_b 5.0848
_cell_length_c 5.0848
_cell_angle_alpha 90.00
_cell_angle_beta 90.00
_cell_angle_gamma 90.00
loop_
_space_group_symop_operation_xyz
'x,y,z'
loop_
_atom_site_label
_atom_site_fract_x
_atom_site_fract_y
_atom_site_fract_z
Zn1 0.0000 0.0000 0.0000
Bi1 0.5000 0.5000 0.5000
Pt1 0.0000 0.5000 0.5000
Pt2 0.5000 0.0000 0.5000
Pt3 0.5000 0.5000 0.0000
```


# ZnBi2Pt

ZnBi2Pt after structural relaxation (PBE, the Alexandria database).

Summary:
E_form = 177 meV/atom
Calculated volume = 252.52 Å³ per cell
Space-group type = I-42d, No. 122
Crystal system = tetragonal

The structure in CIF format:
```
data_ZnBi2Pt
_chemical_formula_sum 'Zn2 Bi4 Pt2'
_space_group_name_H-M_alt 'P 1'
_space_group_IT_number 1
_cell_length_a 7.7123
_cell_length_b 7.7123
_cell_length_c 7.7123
_cell_angle_alpha 131.42
_cell_angle_beta 131.42
_cell_angle_gamma 71.14
loop_
_space_group_symop_operation_xyz
'x,y,z'
loop_
_atom_site_label
_atom_site_fract_x
_atom_site_fract_y
_atom_site_fract_z
Zn1 0.0000 0.0000 0.0000
Zn2 0.7500 0.2500 0.5000
Bi1 0.1414 0.6250 0.0164
Bi2 0.3750 0.3914 0.5164
Bi3 0.6086 0.1250 0.9836
Bi4 0.8750 0.8586 0.4836
Pt1 0.2500 0.7500 0.5000
Pt2 0.5000 0.5000 0.0000
```


# Zn2BiPt

Zn2BiPt after structural relaxation (PBE, the Alexandria database).

Summary:
E_form = 33 meV/atom
Calculated volume = 166.32 Å³ per cell
Space-group type = I-42d, No. 122
Crystal system = tetragonal

The structure in CIF format:
```
data_Zn2BiPt
_chemical_formula_sum 'Zn4 Bi2 Pt2'
_space_group_name_H-M_alt 'P 1'
_space_group_IT_number 1
_cell_length_a 6.0885
_cell_length_b 6.0885
_cell_length_c 6.0885
_cell_angle_alpha 103.15
_cell_angle_beta 103.15
_cell_angle_gamma 123.03
loop_
_space_group_symop_operation_xyz
'x,y,z'
loop_
_atom_site_label
_atom_site_fract_x
_atom_site_fract_y
_atom_site_fract_z
Zn1 0.0809 0.6250 0.9559
Zn2 0.3750 0.3309 0.4559
Zn3 0.6691 0.1250 0.0441
Zn4 0.8750 0.9191 0.5441
Bi1 0.2500 0.7500 0.5000
Bi2 0.5000 0.5000 0.0000
Pt1 0.0000 0.0000 0.0000
Pt2 0.7500 0.2500 0.5000
```


# ZnBi3Pt

ZnBi3Pt after structural relaxation (PBE, the Alexandria database).

Summary:
E_form = 775 meV/atom
Distance to the lowest polymorph of the same formula = 0.312 eV/atom
Calculated volume = 144.46 Å³ per cell
Space-group type = Pm-3m, No. 221
Crystal system = cubic

The structure in CIF format:
```
data_ZnBi3Pt
_chemical_formula_sum 'Zn1 Bi3 Pt1'
_space_group_name_H-M_alt 'P 1'
_space_group_IT_number 1
_cell_length_a 5.2470
_cell_length_b 5.2470
_cell_length_c 5.2470
_cell_angle_alpha 90.00
_cell_angle_beta 90.00
_cell_angle_gamma 90.00
loop_
_space_group_symop_operation_xyz
'x,y,z'
loop_
_atom_site_label
_atom_site_fract_x
_atom_site_fract_y
_atom_site_fract_z
Zn1 0.0000 0.0000 0.0000
Bi1 0.0000 0.0000 0.5000
Bi2 0.0000 0.5000 0.0000
Bi3 0.5000 0.0000 0.0000
Pt1 0.5000 0.5000 0.5000
```


# ZnBi3Pt

ZnBi3Pt after structural relaxation (PBE, the Alexandria database).

Summary:
E_form = 464 meV/atom
Distance to the lowest polymorph of the same formula = 0.000 eV/atom
Calculated volume = 163.89 Å³ per cell
Space-group type = Pm-3m, No. 221
Crystal system = cubic

The structure in CIF format:
```
data_ZnBi3Pt
_chemical_formula_sum 'Zn1 Bi3 Pt1'
_space_group_name_H-M_alt 'P 1'
_space_group_IT_number 1
_cell_length_a 5.4725
_cell_length_b 5.4725
_cell_length_c 5.4725
_cell_angle_alpha 90.00
_cell_angle_beta 90.00
_cell_angle_gamma 90.00
loop_
_space_group_symop_operation_xyz
'x,y,z'
loop_
_atom_site_label
_atom_site_fract_x
_atom_site_fract_y
_atom_site_fract_z
Zn1 0.0000 0.0000 0.0000
Bi1 0.0000 0.5000 0.5000
Bi2 0.5000 0.0000 0.5000
Bi3 0.5000 0.5000 0.0000
Pt1 0.5000 0.5000 0.5000
```


# ZnBiPt

ZnBiPt after structural relaxation (PBE, the Alexandria database).

Summary:
E_form = -279 meV/atom
Calculated volume = 66.31 Å³ per cell
Space-group type = F-43m, No. 216
Crystal system = cubic

The structure in CIF format:
```
data_ZnBiPt
_chemical_formula_sum 'Zn1 Bi1 Pt1'
_space_group_name_H-M_alt 'P 1'
_space_group_IT_number 1
_cell_length_a 4.5432
_cell_length_b 4.5432
_cell_length_c 4.5432
_cell_angle_alpha 60.00
_cell_angle_beta 60.00
_cell_angle_gamma 60.00
loop_
_space_group_symop_operation_xyz
'x,y,z'
loop_
_atom_site_label
_atom_site_fract_x
_atom_site_fract_y
_atom_site_fract_z
Zn1 0.0000 0.0000 0.0000
Bi1 0.5000 0.5000 0.5000
Pt1 0.7500 0.7500 0.7500
```


# Zr3BiPt

Zr3BiPt after structural relaxation (PBE, the Alexandria database).

Summary:
E_form = 1197 meV/atom
Distance to the lowest polymorph of the same formula = 1.255 eV/atom
Calculated volume = 148.95 Å³ per cell
Space-group type = Pm-3m, No. 221
Crystal system = cubic

The structure in CIF format:
```
data_Zr3BiPt
_chemical_formula_sum 'Zr3 Bi1 Pt1'
_space_group_name_H-M_alt 'P 1'
_space_group_IT_number 1
_cell_length_a 5.3009
_cell_length_b 5.3009
_cell_length_c 5.3009
_cell_angle_alpha 90.00
_cell_angle_beta 90.00
_cell_angle_gamma 90.00
loop_
_space_group_symop_operation_xyz
'x,y,z'
loop_
_atom_site_label
_atom_site_fract_x
_atom_site_fract_y
_atom_site_fract_z
Zr1 0.0000 0.0000 0.5000
Zr2 0.0000 0.5000 0.0000
Zr3 0.5000 0.0000 0.0000
Bi1 0.0000 0.0000 0.0000
Pt1 0.5000 0.5000 0.5000
```


# ZrBiPt2

ZrBiPt2 after structural relaxation (PBE, the Alexandria database).

Summary:
E_form = -699 meV/atom
Calculated volume = 82.51 Å³ per cell
Space-group type = P4/mmm, No. 123
Crystal system = tetragonal

The structure in CIF format:
```
data_ZrBiPt2
_chemical_formula_sum 'Zr1 Bi1 Pt2'
_space_group_name_H-M_alt 'P 1'
_space_group_IT_number 1
_cell_length_a 3.5260
_cell_length_b 3.5260
_cell_length_c 6.6362
_cell_angle_alpha 90.00
_cell_angle_beta 90.00
_cell_angle_gamma 90.00
loop_
_space_group_symop_operation_xyz
'x,y,z'
loop_
_atom_site_label
_atom_site_fract_x
_atom_site_fract_y
_atom_site_fract_z
Zr1 0.0000 0.0000 0.0000
Bi1 0.0000 0.0000 0.5000
Pt1 0.5000 0.5000 0.2089
Pt2 0.5000 0.5000 0.7911
```


> Among the records above, which one has the lowest calculated volume?

ZnBiPt


> Which formula does entry 1 have?

YbBiPt


> Among the records above, which one has the highest E_form?

Zr3BiPt